No. 1
DFT (PBE-GGA) results for crystalline Rb2ZnFeCl6 at its relaxed geometry.

Uncorrected formation energy   -1256 meV per atom
Energy   -35.312 eV per cell

POSCAR file:
```
Rb2ZnFeCl6
1.0
7.364 0.000 0.000
0.000 7.364 0.000
3.682 3.682 4.547
Rb Cl Fe Zn
2 6 1 1
Direct
0.750 0.250 0.500 Rb
0.250 0.750 0.500 Rb
0.260 0.740 0.000 Cl
0.260 0.260 0.000 Cl
0.740 0.260 0.000 Cl
0.740 0.740 0.000 Cl
0.241 0.241 0.517 Cl
0.759 0.759 0.483 Cl
0.500 0.500 0.000 Fe
0.000 0.000 0.000 Zn
```

=====

No. 2
DFT (PBE-GGA) results for crystalline Zr2NiSn at its relaxed geometry.

Formation enthalpy at 0 K   -132 meV per atom
Energy   -54.815 eV per cell

POSCAR file:
```
Zr2NiSn
1.0
-1.963 -2.870 6.668
-3.889 -5.417 -3.477
-0.520 -5.853 1.568
Ni Zr Sn
2 4 2
Direct
0.250 0.750 0.500 Ni
0.500 0.500 0.000 Ni
0.173 0.625 0.250 Zr
0.875 0.827 0.750 Zr
0.375 0.423 0.750 Zr
0.577 0.125 0.250 Zr
0.000 0.000 0.000 Sn
0.750 0.250 0.500 Sn
```